No. 1
# Ac3Al4Ga2 | the Alexandria database | PBE | optimized geometry
data_Ac3Al4Ga2
_chemical_formula_sum 'Ac6 Al8 Ga4'
_cell_length_a 12.1797
_cell_length_b 4.4779
_cell_length_c 9.0724
_cell_angle_alpha 90.00
_cell_angle_beta 98.21
_cell_angle_gamma 90.00
_symmetry_space_group_name_H-M 'C 1 2/m 1'
_symmetry_Int_Tables_number 12
loop_
_symmetry_equiv_pos_as_xyz
'x,y,z'
'-x,-y,-z'
'-x,y,-z'
'x,-y,z'
'x+1/2,y+1/2,z'
'-x+1/2,-y+1/2,-z'
'-x+1/2,y+1/2,-z'
'x+1/2,-y+1/2,z'
loop_
_atom_site_label
_atom_site_fract_x
_atom_site_fract_y
_atom_site_fract_z
Ac1 0.0000 0.0000 0.0000
Ac2 0.1673 0.5000 0.6655
Al1 0.0545 0.0000 0.3863
Al2 0.2230 0.5000 0.0583
Ga1 0.1110 0.5000 0.2782
# **E_form**: -0.494 eV/atom
# **Total DFT energy (no corrections)**: -4.1995 eV per atom

No. 2
# AcAlGa4 | the Alexandria database | PBE | optimized geometry
data_AcAlGa4
_chemical_formula_sum 'Ac4 Al4 Ga16'
_cell_length_a 8.1087
_cell_length_b 8.1087
_cell_length_c 8.1087
_cell_angle_alpha 90.00
_cell_angle_beta 90.00
_cell_angle_gamma 90.00
_symmetry_space_group_name_H-M 'F -4 3 m'
_symmetry_Int_Tables_number 216
_symmetry_space_group_name_Hall 'F -4 2 3'
loop_
_atom_site_label
_atom_site_fract_x
_atom_site_fract_y
_atom_site_fract_z
Ac1 0.0000 0.0000 0.0000
Al1 0.2500 0.2500 0.7500
Ga1 0.1243 0.1243 0.3757
# **Offset from the most stable computed form**: 122 meV per atom
# **E_form**: -0.141 eV/atom
# **Total DFT energy (no corrections)**: -3.4670 eV per atom

No. 3
# Ac2AlGa | the Alexandria database | PBE | optimized geometry
data_Ac2AlGa
_chemical_formula_sum 'Ac4 Al2 Ga2'
_cell_length_a 6.4611
_cell_length_b 4.3913
_cell_length_c 9.3613
_cell_angle_alpha 90.00
_cell_angle_beta 108.19
_cell_angle_gamma 90.00
_symmetry_space_group_name_H-M 'P 1 21/m 1'
_symmetry_Int_Tables_number 11
loop_
_symmetry_equiv_pos_as_xyz
'x,y,z'
'-x,-y,-z'
'-x,y+1/2,-z'
'x,-y+1/2,z'
loop_
_atom_site_label
_atom_site_fract_x
_atom_site_fract_y
_atom_site_fract_z
Ac1 0.2125 0.2500 0.4272
Ac2 0.2839 0.7500 0.0705
Al1 0.3435 0.7500 0.7194
Ga1 0.1538 0.2500 0.7837
# **E_form**: -0.413 eV/atom
# **Total DFT energy (no corrections)**: -4.1597 eV per atom

No. 4
# Ac2AlGa2 | the Alexandria database | PBE | optimized geometry
data_Ac2AlGa2
_chemical_formula_sum 'Ac8 Al4 Ga8'
_cell_length_a 6.9681
_cell_length_b 13.5126
_cell_length_c 6.3887
_cell_angle_alpha 90.00
_cell_angle_beta 90.00
_cell_angle_gamma 90.00
_symmetry_space_group_name_H-M 'I b a m'
_symmetry_Int_Tables_number 72
_symmetry_space_group_name_Hall '-I 2 2c'
loop_
_atom_site_label
_atom_site_fract_x
_atom_site_fract_y
_atom_site_fract_z
Ac1 0.1939 0.1401 0.0000
Al1 0.0000 0.5000 0.2500
Ga1 0.2159 0.3891 0.0000
# **Offset from the most stable computed form**: 104 meV per atom
# **E_form**: -0.402 eV/atom
# **Total DFT energy (no corrections)**: -4.0050 eV per atom

No. 5
# AcAlGa2 | the Alexandria database | PBE | optimized geometry
data_AcAlGa2
_chemical_formula_sum 'Ac1 Al1 Ga2'
_cell_length_a 3.6337
_cell_length_b 3.6337
_cell_length_c 7.0812
_cell_angle_alpha 90.00
_cell_angle_beta 90.00
_cell_angle_gamma 90.00
_symmetry_space_group_name_H-M 'P 4/m m m'
_symmetry_Int_Tables_number 123
_symmetry_space_group_name_Hall '-P 4 2'
loop_
_atom_site_label
_atom_site_fract_x
_atom_site_fract_y
_atom_site_fract_z
Ac1 0.0000 0.0000 0.0000
Al1 0.0000 0.0000 0.5000
Ga1 0.5000 0.5000 0.3132
# **Offset from the most stable computed form**: 193 meV per atom
# **E_form**: -0.252 eV/atom
# **Total DFT energy (no corrections)**: -3.7287 eV per atom

No. 6
# AcAl2Ga | the Alexandria database | PBE | optimized geometry
data_AcAl2Ga
_chemical_formula_sum 'Ac1 Al2 Ga1'
_cell_length_a 3.6392
_cell_length_b 3.6392
_cell_length_c 7.2051
_cell_angle_alpha 90.00
_cell_angle_beta 90.00
_cell_angle_gamma 90.00
_symmetry_space_group_name_H-M 'P 4/m m m'
_symmetry_Int_Tables_number 123
_symmetry_space_group_name_Hall '-P 4 2'
loop_
_atom_site_label
_atom_site_fract_x
_atom_site_fract_y
_atom_site_fract_z
Ac1 0.0000 0.0000 0.0000
Al1 0.5000 0.5000 0.3171
Ga1 0.0000 0.0000 0.5000
# **E_form**: -0.154 eV/atom
# **Total DFT energy (no corrections)**: -3.8090 eV per atom

No. 7
# AcGdAlGa | the Alexandria database | PBE | optimized geometry
data_AcGdAlGa
_chemical_formula_sum 'Ac4 Gd4 Al4 Ga4'
_cell_length_a 7.5853
_cell_length_b 7.5853
_cell_length_c 7.5853
_cell_angle_alpha 90.00
_cell_angle_beta 90.00
_cell_angle_gamma 90.00
_symmetry_space_group_name_H-M 'F -4 3 m'
_symmetry_Int_Tables_number 216
_symmetry_space_group_name_Hall 'F -4 2 3'
loop_
_atom_site_label
_atom_site_fract_x
_atom_site_fract_y
_atom_site_fract_z
Ac1 0.0000 0.0000 0.0000
Gd1 0.0000 0.0000 0.5000
Al1 0.2500 0.2500 0.2500
Ga1 0.2500 0.2500 0.7500
# **E_form**: -0.368 eV/atom
# **Total DFT energy (no corrections)**: -6.6080 eV per atom

No. 8
# Ac3AlGa2Ge6 | the Alexandria database | PBE | optimized geometry
data_Ac3AlGa2Ge6
_chemical_formula_sum 'Ac3 Al1 Ga2 Ge6'
_cell_length_a 6.3360
_cell_length_b 6.3360
_cell_length_c 8.6419
_cell_angle_alpha 90.00
_cell_angle_beta 90.00
_cell_angle_gamma 120.00
_symmetry_space_group_name_H-M 'P -3 m 1'
_symmetry_Int_Tables_number 164
_symmetry_space_group_name_Hall '-P 3 2"'
loop_
_atom_site_label
_atom_site_fract_x
_atom_site_fract_y
_atom_site_fract_z
Ac1 0.0000 0.0000 0.0000
Ac2 0.3333 0.6667 0.6356
Al1 0.0000 0.0000 0.5000
Ga1 0.3333 0.6667 0.0251
Ge1 0.1927 0.3854 0.2890
# **E_form**: -0.402 eV/atom
# **Total DFT energy (no corrections)**: -4.5544 eV per atom

No. 9
# Ac3Al2GaGe6 | the Alexandria database | PBE | optimized geometry
data_Ac3Al2GaGe6
_chemical_formula_sum 'Ac3 Al2 Ga1 Ge6'
_cell_length_a 6.3691
_cell_length_b 6.3691
_cell_length_c 8.7402
_cell_angle_alpha 90.00
_cell_angle_beta 90.00
_cell_angle_gamma 120.00
_symmetry_space_group_name_H-M 'P -3 m 1'
_symmetry_Int_Tables_number 164
_symmetry_space_group_name_Hall '-P 3 2"'
loop_
_atom_site_label
_atom_site_fract_x
_atom_site_fract_y
_atom_site_fract_z
Ac1 0.0000 0.0000 0.0000
Ac2 0.3333 0.6667 0.6282
Al1 0.3333 0.6667 0.0231
Ga1 0.0000 0.0000 0.5000
Ge1 0.1955 0.3910 0.2782
# **E_form**: -0.341 eV/atom
# **Total DFT energy (no corrections)**: -4.5528 eV per atom

No. 10
# Ac2AlGa6Ge | the Alexandria database | PBE | optimized geometry
data_Ac2AlGa6Ge
_chemical_formula_sum 'Ac4 Al2 Ga12 Ge2'
_cell_length_a 7.2558
_cell_length_b 8.9893
_cell_length_c 7.2207
_cell_angle_alpha 90.00
_cell_angle_beta 90.00
_cell_angle_gamma 90.00
_symmetry_space_group_name_H-M 'P m m n'
_symmetry_Int_Tables_number 59
loop_
_symmetry_equiv_pos_as_xyz
'x,y,z'
'-x,-y,-z'
'-x+1/2,-y+1/2,z'
'x+1/2,y+1/2,-z'
'x+1/2,-y,-z'
'-x+1/2,y,z'
'-x,y+1/2,-z'
'x,-y+1/2,z'
loop_
_atom_site_label
_atom_site_fract_x
_atom_site_fract_y
_atom_site_fract_z
Ac1 0.2500 0.0006 0.2502
Al1 0.2500 0.7500 0.5875
Ga1 0.0677 0.2500 0.5683
Ga2 0.0730 0.7500 0.9242
Ga3 0.2500 0.0077 0.7380
Ge1 0.2500 0.2500 0.9279
# **E_form**: -0.291 eV/atom
# **Total DFT energy (no corrections)**: -3.7648 eV per atom

No. 11
# Ac3AlGa6Ge2 | the Alexandria database | PBE | optimized geometry
data_Ac3AlGa6Ge2
_chemical_formula_sum 'Ac3 Al1 Ga6 Ge2'
_cell_length_a 6.4266
_cell_length_b 6.4266
_cell_length_c 8.4380
_cell_angle_alpha 90.00
_cell_angle_beta 90.00
_cell_angle_gamma 120.00
_symmetry_space_group_name_H-M 'P -3 m 1'
_symmetry_Int_Tables_number 164
_symmetry_space_group_name_Hall '-P 3 2"'
loop_
_atom_site_label
_atom_site_fract_x
_atom_site_fract_y
_atom_site_fract_z
Ac1 0.0000 0.0000 0.0000
Ac2 0.3333 0.6667 0.6515
Al1 0.0000 0.0000 0.5000
Ga1 0.1928 0.3856 0.3011
Ge1 0.3333 0.6667 0.0442
# **E_form**: -0.293 eV/atom
# **Total DFT energy (no corrections)**: -3.9151 eV per atom

No. 12
# Ac2Al4Ga3Hg | the Alexandria database | PBE | optimized geometry
data_Ac2Al4Ga3Hg
_chemical_formula_sum 'Ac2 Al4 Ga3 Hg1'
_cell_length_a 4.5782
_cell_length_b 4.5782
_cell_length_c 10.7585
_cell_angle_alpha 90.00
_cell_angle_beta 90.00
_cell_angle_gamma 90.00
_symmetry_space_group_name_H-M 'P -4 m 2'
_symmetry_Int_Tables_number 115
loop_
_symmetry_equiv_pos_as_xyz
'x,y,z'
'y,-x,-z'
'-x,-y,z'
'-y,x,-z'
'-x,y,z'
'-y,-x,-z'
'x,-y,z'
'y,x,-z'
loop_
_atom_site_label
_atom_site_fract_x
_atom_site_fract_y
_atom_site_fract_z
Ac1 0.0000 0.5000 0.2503
Al1 0.0000 0.0000 0.0000
Al2 0.0000 0.5000 0.6316
Al3 0.5000 0.5000 0.0000
Ga1 0.0000 0.5000 0.8708
Ga2 0.5000 0.5000 0.5000
Hg1 0.0000 0.0000 0.5000
# **E_form**: -0.401 eV/atom
# **Total DFT energy (no corrections)**: -3.6584 eV per atom